Below is Ac11Pt4Pb9 after structural relaxation, with properties calculated at the PBE level.

Cell: 15.5925 23.2152 4.3141 Å, 90.00 90.00 90.00°
Space group Cmmm (No. 65)
Symmetry-distinct sites (fractional):
Ac (0.0000, 0.0000, 0.0000) x2
Ac (0.0000, 0.1647, 0.0000) x4
Ac (0.0000, 0.3720, 0.0000) x4
Ac (0.1907, 0.5000, 0.0000) x4
Ac (0.2490, 0.3333, 0.0000) x8
Pt (0.1489, 0.4003, 0.5000) x8
Pb (0.0000, 0.5000, 0.5000) x2
Pb (0.1084, 0.2605, 0.5000) x8
Pb (0.1430, 0.0723, 0.5000) x8

## Properties
**Calculated formation energy**: -0.7068 eV per atom



Below is AcPt4Pb4 after structural relaxation, with properties calculated at the PBE level.

Cell: 9.2943 9.2943 5.5708 Å, 90.00 90.00 90.00°
Space group P4_2/n (No. 86, origin choice 2)
Symmetry-distinct sites (fractional):
Ac (0.2500, 0.2500, 0.2500) x2
Pt (0.0404, 0.6148, 0.6471) x8
Pb (0.0943, 0.6392, 0.1460) x8

## Properties
**Calculated formation energy**: -0.3742 eV per atom



Below is Ac2Pt4Pb3 after structural relaxation, with properties calculated at the PBE level.

Cell: 6.5729 17.4578 7.6920 Å, 90.00 90.00 90.00°
Space group Cmce (No. 64)
Symmetry-distinct sites (fractional):
Ac (0.0000, 0.1034, 0.0865) x8
Pt (0.0000, 0.1640, 0.4727) x8
Pt (0.2500, 0.0671, 0.7500) x8
Pb (0.0000, 0.0000, 0.5000) x4
Pb (0.2500, 0.2338, 0.7500) x8

## Properties
**Calculated formation energy**: -0.6019 eV per atom



Below is Ac5PtPb2 after structural relaxation, with properties calculated at the PBE level.

Cell: 6.4199 10.9917 17.2834 Å, 90.00 90.00 90.00°
Space group Cmcm (No. 63)
Symmetry-distinct sites (fractional):
Ac (0.0000, 0.0820, 0.1114) x8
Ac (0.0000, 0.2500, 0.7500) x4
Ac (0.0000, 0.4178, 0.1118) x8
Pt (0.0000, 0.2494, 0.2500) x4
Pb (0.0000, 0.2502, 0.5569) x8

## Properties
**E above lowest polymorph**: 0.2102 eV/atom
**Calculated formation energy**: -0.4305 eV per atom



Below is AcPt3Pb3 after structural relaxation, with properties calculated at the PBE level.

Cell: 9.3516 9.3516 4.7591 Å, 90.00 90.00 120.00°
Space group P6_3/m (No. 176)
Symmetry-distinct sites (fractional):
Ac (0.3333, 0.6667, 0.2500) x2
Pt (0.0547, 0.5996, 0.7500) x6
Pb (0.0434, 0.2843, 0.7500) x6

## Properties
**E above lowest polymorph**: 0.0000 eV/atom
**Calculated formation energy**: -0.5189 eV per atom



Below is Ac2PtPb2 after structural relaxation, with properties calculated at the PBE level.

Cell: 4.5153 6.6701 11.7449 Å, 87.83 78.92 70.37°
Space group P-1 (No. 2)
Symmetry-distinct sites (fractional):
Ac (0.0809, 0.2207, 0.1155) x2
Ac (0.2857, 0.2885, 0.6402) x2
Pt (0.4197, 0.3645, 0.2935) x2
Pb (0.0341, 0.8375, 0.5968) x2
Pb (0.3625, 0.6667, 0.1108) x2

## Properties
**Calculated formation energy**: -0.6784 eV per atom



Below is Ac6Pt4Pb after structural relaxation, with properties calculated at the PBE level.

Cell: 4.5186 14.6017 22.4053 Å, 90.00 90.00 90.00°
Space group Cmcm (No. 63)
Symmetry-distinct sites (fractional):
Ac (0.0000, 0.0000, 0.0000) x4
Ac (0.0000, 0.1710, 0.2500) x4
Ac (0.0000, 0.2695, 0.5826) x8
Ac (0.0000, 0.4621, 0.1573) x8
Pt (0.0000, 0.0966, 0.1244) x8
Pt (0.0000, 0.3633, 0.0412) x8
Pb (0.0000, 0.1547, 0.7500) x4

## Properties
**Calculated formation energy**: -0.9841 eV per atom



Below is Ac12PtPb6 after structural relaxation, with properties calculated at the PBE level.

Cell: 14.4783 14.4783 13.5563 Å, 90.00 90.00 120.00°
Space group R-3 (No. 148, hexagonal axes)
Symmetry-distinct sites (fractional):
Ac (0.0321, 0.1996, 0.3924) x18
Ac (0.0655, 0.1952, 0.8771) x18
Pt (0.0000, 0.0000, 0.0000) x3
Pb (0.0464, 0.4280, 0.3053) x18

## Properties
**Calculated formation energy**: -0.3666 eV per atom